A plane-wave DFT calculation with PBE was carried out for an optimized crystal structure of As2PRh.

Output
SG ... I4/mmm, No. 139
Energy of formation ... -29 meV/atom
Final energy ... -5.544 eV per atom

abc: 4.4312 4.4312 4.4319
angles: 70.58 70.58 109.59
Last column: nearest neighbours and their distance in Å.
Fractional positions:
Rh1 0.0000 0.5000 0.5000  2 P 2.55, 4 As 2.56
As1 0.5000 0.5000 0.0000  2 As 2.55, 2 P 2.56, 2 Rh 2.56
As2 0.0000 0.0000 0.0000  2 As 2.55, 2 Rh 2.56, 2 P 2.56
P1 0.5000 0.0000 0.5000  2 Rh 2.55, 4 As 2.56